DFT (PBE) results for a relaxed Al2SiNi2 crystal.

Cell lengths 3.5262, 3.5262, 11.5576 Å; angles 90.00, 90.00, 90.00 degrees
With the nearest neighbours (Å) after each atom.
Fractional positions:
Al  0.5000  0.0000  0.1458  5 Ni 2.39-2.44
Al  0.0000  0.5000  0.8542  5 Ni 2.39-2.44
Al  0.0000  0.0000  0.5000  4 Ni 2.45, 4 Al 2.49
Al  0.5000  0.5000  0.5000  4 Ni 2.45, 4 Al 2.49
Si  0.5000  0.0000  0.7042  4 Ni 2.58
Si  0.0000  0.5000  0.2958  4 Ni 2.58
Ni  0.5000  0.0000  0.3528  5 Al 2.39-2.45, 4 Si 2.58
Ni  0.0000  0.5000  0.6472  5 Al 2.39-2.45, 4 Si 2.58
Ni  0.0000  0.0000  0.0000  4 Al 2.44, 4 Ni 2.49
Ni  0.5000  0.5000  0.0000  4 Al 2.44, 4 Ni 2.49

Results
Energy above the lowest structure with this stoichiometry   472.4 meV per atom
E   -4.9849 eV/atom
Symmetry   P4/nmm (129)
Formation energy without anion corrections   -91 meV/atom
Magnetization   0.0 Bohr magnetons per cell


DFT (PBE) results for a relaxed AlSiNi2 crystal.

Cell lengths 3.9762, 3.9762, 7.2682 Å; angles 90.00, 90.00, 120.00 degrees
With the nearest neighbours (Å) after each atom.
Fractional positions:
Al  0.0000  0.0000  0.1790  6 Ni 2.40-2.43, 1 Al 2.60
Al  0.0000  0.0000  0.8210  6 Ni 2.40-2.43, 1 Al 2.60
Si  0.6667  0.3333  0.6008  5 Ni 2.25-2.43
Si  0.3333  0.6667  0.3992  5 Ni 2.25-2.43
Ni  0.6667  0.3333  0.9179  1 Si 2.30, 3 Al 2.40
Ni  0.3333  0.6667  0.0821  1 Si 2.30, 3 Al 2.40
Ni  0.6667  0.3333  0.2906  4 Si 2.25-2.43, 3 Al 2.43
Ni  0.3333  0.6667  0.7094  4 Si 2.25-2.43, 3 Al 2.43

Results
E   -5.6635 eV/atom
Symmetry   P-3m1 (164)
Formation energy without anion corrections   -481 meV/atom
Magnetization   0.0 Bohr magnetons per cell


DFT (PBE) results for a relaxed Al2SiNi9 crystal.

Cell lengths 3.5467, 3.5467, 10.6274 Å; angles 90.00, 90.00, 90.00 degrees
With the nearest neighbours (Å) after each atom.
Fractional positions:
Al  0.0000  0.0000  0.3323  12 Ni 2.51-2.54
Al  0.0000  0.0000  0.6677  12 Ni 2.51-2.54
Si  0.0000  0.0000  0.0000  12 Ni 2.46-2.51
Ni  0.5000  0.5000  0.0000  8 Ni 2.46, 4 Si 2.51
Ni  0.5000  0.5000  0.3301  4 Al 2.51, 8 Ni 2.53
Ni  0.5000  0.5000  0.6699  4 Al 2.51, 8 Ni 2.53
Ni  0.5000  0.0000  0.1607  8 Ni 2.46-2.53, 2 Si 2.46, 2 Al 2.54
Ni  0.5000  0.0000  0.5000  8 Ni 2.51-2.53, 4 Al 2.51
Ni  0.5000  0.0000  0.8393  8 Ni 2.46-2.53, 2 Si 2.46, 2 Al 2.54
Ni  0.0000  0.5000  0.1607  8 Ni 2.46-2.53, 2 Si 2.46, 2 Al 2.54
Ni  0.0000  0.5000  0.5000  8 Ni 2.51-2.53, 4 Al 2.51
Ni  0.0000  0.5000  0.8393  8 Ni 2.46-2.53, 2 Si 2.46, 2 Al 2.54

Results
E   -5.8493 eV/atom
Symmetry   P4/mmm (123)
Formation energy without anion corrections   -438 meV/atom
Magnetization   1.4 Bohr magnetons per cell


DFT (PBE) results for a relaxed AlSi5Ni2 crystal.

Cell lengths 7.4690, 7.4690, 7.4690 Å; angles 149.84, 149.84, 43.18 degrees
With the nearest neighbours (Å) after each atom.
Fractional positions:
Al  0.0000  0.0000  0.0000  12 Si 2.75-2.76
Si  0.5000  0.5000  0.0000  4 Al 2.75, 8 Si 2.76
Si  0.1409  0.6409  0.5000  4 Ni 2.45-2.48
Si  0.6409  0.1409  0.5000  4 Ni 2.45-2.48
Si  0.8591  0.3591  0.5000  4 Ni 2.45-2.48
Si  0.3591  0.8591  0.5000  4 Ni 2.45-2.48
Ni  0.2483  0.2483  0.0000  8 Si 2.45-2.48
Ni  0.7517  0.7517  0.0000  8 Si 2.45-2.48

Results
Energy above the lowest structure with this stoichiometry   44.1 meV per atom
E   -5.3165 eV/atom
Symmetry   I4/mmm (139)
Formation energy without anion corrections   -14 meV/atom
Magnetization   0.0 Bohr magnetons per cell


> E of number 4 (AlSi5Ni2)?

-5.3165 eV/atom